# CrTcF2

A geometry-optimized CrTcF2 structure (GGA+U, Alexandria).

Values from the calculation:
For the calculated volume, the calculation gives 57 Å³ per cell. The density of states at the Fermi level is 5.22 states/eV per cell. The space group is Fm-3m (225). The calculation puts the mass density at 5.52 g cm⁻³. The magnetization is 2.168 μB/atom. For the distance to the lowest polymorph of the same formula, the calculation gives 684 meV per atom.

Cell lengths 4.3081, 4.3081, 4.3081 Å; angles 60.00, 60.00, 60.00 degrees
With the nearest neighbours (Å) after each atom.
Atoms (fractional coordinates):
1 Cr 0.0000 0.0000 0.0000  8 F 2.64
2 Tc 0.5000 0.5000 0.5000  8 F 2.64
3 F 0.2500 0.2500 0.2500  4 Cr 2.64, 4 Tc 2.64
4 F 0.7500 0.7500 0.7500  4 Cr 2.64, 4 Tc 2.64